Record 1
# AcTlAg

A geometry-optimized AcTlAg structure (PBE, the Alexandria database).

Computed properties:
symmetry	F-43m, No. 216
ρ	9.3	g/cm³
E_form	-0.67	eV/f.u.

a b c (Å): 5.1516 5.1516 5.1516
angles (deg): 60.00 60.00 60.00
Positions (direct):
Ag 0.2500 0.2500 0.2500
Tl 0.0000 0.0000 0.0000
Ac 0.5000 0.5000 0.5000

=====

Record 2
# Ac2Tl4Ag3

A geometry-optimized Ac2Tl4Ag3 structure (PBE, the Alexandria database).

Computed properties:
symmetry	Cmce, No. 64
ρ	10.7	g/cm³
E_form	-1.59	eV/f.u.

a b c (Å): 6.7489 8.6814 9.1335
angles (deg): 90.00 111.68 90.00
Positions (direct):
Ag 0.4719 0.2500 0.4438
Tl 0.7039 0.7500 0.9078
Tl 0.8242 0.0229 0.6484
Tl 0.2039 0.7500 0.9078
Ac 0.6217 0.9236 0.2434
Ac 0.3783 0.0764 0.7566
Ag 0.0281 0.7500 0.5562
Tl 0.7961 0.2500 0.0922
Ac 0.8783 0.4236 0.7566
Ag 0.5000 0.5000 0.0000
Tl 0.2961 0.2500 0.0922
Tl 0.6758 0.5229 0.3516
Tl 0.1758 0.9771 0.3516
Ag 0.9719 0.2500 0.4438
Ac 0.1217 0.5764 0.2434
Ag 0.0000 0.0000 0.0000
Tl 0.3242 0.4771 0.6484
Ag 0.5281 0.7500 0.5562

=====

Record 3
# Ac8TlAg2

A geometry-optimized Ac8TlAg2 structure (PBE, the Alexandria database).

Computed properties:
symmetry	C2/m, No. 12
ρ	8.8	g/cm³
E_form	-1.20	eV/f.u.

a b c (Å): 5.8894 9.2326 9.3540
angles (deg): 117.51 108.35 90.00
Positions (direct):
Ac 0.6016 0.4591 0.2032
Ac 0.0699 0.7243 0.1398
Ac 0.3984 0.5409 0.7968
Ac 0.9301 0.2757 0.8602
Ag 0.7776 0.3838 0.5552
Ac 0.3153 0.0277 0.6307
Tl 0.5000 0.0000 0.0000
Ac 0.8568 0.7921 0.7135
Ac 0.1432 0.2079 0.2865
Ac 0.6847 0.9723 0.3693
Ag 0.2224 0.6162 0.4448